# Ba2OsO4F

Crystalline Ba2OsO4F at its relaxed geometry (PBE-GGA, the Alexandria database).

As for the formation energy without anion corrections: -2.1325 eV/atom. As for the density of states at the Fermi level: 3.333 states/eV/f.u.

Cell lengths 3.4488, 5.2945, 8.4340 Å; angles 78.43, 78.20, 70.99 degrees
Closest atoms and distances in Å follow each position.
Fractional positions:
1 Ba 0.8471 0.5621 0.7437  5 O 2.66-2.80, 2 F 2.70
2 Ba 0.1529 0.4379 0.2563  5 O 2.66-2.80, 2 F 2.70
3 Os 0.0000 0.0000 0.0000  2 O 1.88
4 O 0.1338 0.9542 0.7782  1 Os 1.88
5 O 0.3982 0.2440 0.9595  2 Os 2.11
6 O 0.8662 0.0458 0.2218  1 Os 1.88
7 O 0.6018 0.7560 0.0405  2 Os 2.11
8 F 0.5000 0.5000 0.5000  4 Ba 2.70

***

# MnMo2P

Crystalline MnMo2P at its relaxed geometry (PBE-GGA, the Alexandria database).

The energy is -9.054 eV/atom. As for the density of states at the Fermi level: 4.387 states/eV/f.u.

Cell lengths 4.9202, 4.9202, 4.9202 Å; angles 137.01, 137.01, 62.43 degrees
Closest atoms and distances in Å follow each position.
Fractional positions:
1 Mn 0.7500 0.2500 0.5000  8 Mo 2.55-2.77, 4 P 2.77
2 Mo 0.0000 0.0000 0.0000  4 P 2.55, 4 Mo 2.77, 4 Mn 2.77
3 Mo 0.2500 0.7500 0.5000  4 Mn 2.55, 4 Mo 2.77, 4 P 2.77
4 P 0.5000 0.5000 0.0000  8 Mo 2.55-2.77, 4 Mn 2.77

***

# La5Mn

Crystalline La5Mn at its relaxed geometry (PBE-GGA, the Alexandria database).

The calculation puts the energy above the most stable polymorph in this dataset at 0.310 eV per atom. As for the density of states at the Fermi level: 8.781 states/eV/f.u.

Cell lengths 6.6311, 6.6311, 6.6311 Å; angles 60.00, 60.00, 60.00 degrees
Closest atoms and distances in Å follow each position.
Fractional positions:
1 La 0.6271 0.6271 0.1188  6 La 3.26-3.37
2 La 0.2500 0.2500 0.2500  12 La 3.89, 4 Mn 4.06
3 La 0.6271 0.6271 0.6271  6 La 3.26-3.37
4 La 0.1188 0.6271 0.6271  6 La 3.26-3.37
5 La 0.6271 0.1188 0.6271  6 La 3.26-3.37
6 Mn 0.0000 0.0000 0.0000  16 La 3.88-4.06

***

# Rb3Ce2SmSe6

Crystalline Rb3Ce2SmSe6 at its relaxed geometry (PBE-GGA, the Alexandria database).

As for the formation energy without anion corrections: -1.6923 eV/atom. As for the density of states at the Fermi level: 11.520 states/eV/f.u.

Cell lengths 7.5979, 7.5979, 8.3840 Å; angles 98.69, 98.69, 120.00 degrees
Closest atoms and distances in Å follow each position.
Fractional positions:
1 Rb 0.1667 0.8333 0.5000  6 Se 3.48-3.51
2 Rb 0.8333 0.1667 0.5000  6 Se 3.48-3.51
3 Rb 0.5000 0.5000 0.5000  6 Se 3.48-3.51
4 Ce 0.3333 0.6667 0.0000  6 Se 3.00
5 Ce 0.6667 0.3333 0.0000  6 Se 3.00
6 Sm 0.0000 0.0000 0.0000  6 Se 2.97
7 Se 0.9336 0.6033 0.8007  1 Sm 2.97, 2 Ce 3.00
8 Se 0.7362 0.7362 0.1993  1 Sm 2.97, 2 Ce 3.00
9 Se 0.0664 0.3967 0.1993  1 Sm 2.97, 2 Ce 3.00
10 Se 0.6033 0.9336 0.8007  1 Sm 2.97, 2 Ce 3.00
11 Se 0.2638 0.2638 0.8007  1 Sm 2.97, 2 Ce 3.00
12 Se 0.3967 0.0664 0.1993  1 Sm 2.97, 2 Ce 3.00

***

# Sm5Tm3Sc

Crystalline Sm5Tm3Sc at its relaxed geometry (PBE-GGA, the Alexandria database).

The energy is -4.230 eV/atom. As for the density of states at the Fermi level: 10.806 states/eV/f.u.

Cell lengths 10.0137, 10.0137, 8.5843 Å; angles 60.64, 60.64, 72.00 degrees
Closest atoms and distances in Å follow each position.
Fractional positions:
1 Sm 0.9281 0.4144 0.3827  1 Tm 3.08, 1 Sc 3.17
2 Sm 0.2571 0.7429 0.0000  3 Tm 3.03-3.35
3 Sm 0.8052 0.8052 0.9215  2 Tm 3.04, 1 Sm 3.36
4 Sm 0.5462 0.5462 0.2634  4 Tm 3.23-3.47, 2 Sm 3.36-3.37
5 Sm 0.4538 0.4538 0.7366  4 Tm 3.23-3.47, 2 Sm 3.36-3.37
6 Sm 0.1948 0.1948 0.0785  2 Tm 3.04, 1 Sm 3.36
7 Sm 0.4144 0.9281 0.3827  1 Tm 3.08, 1 Sc 3.17
8 Sm 0.7429 0.2571 0.0000  3 Tm 3.03-3.35
9 Sm 0.0719 0.5856 0.6173  1 Tm 3.08, 1 Sc 3.17
10 Sm 0.5856 0.0719 0.6173  1 Tm 3.08, 1 Sc 3.17
11 Tm 0.6312 0.6312 0.7990  1 Sc 3.04, 1 Tm 3.21, 4 Sm 3.23-3.35
12 Tm 0.7170 0.7170 0.3502  1 Sc 2.73, 1 Sm 3.04
13 Tm 0.0000 0.0000 0.0000  2 Sc 2.96, 2 Sm 3.03
14 Tm 0.0000 0.0000 0.5000  2 Sc 2.73, 2 Sm 3.04
15 Tm 0.3688 0.3688 0.2010  1 Sc 3.04, 1 Tm 3.21, 4 Sm 3.23-3.35
16 Tm 0.2830 0.2830 0.6498  1 Sc 2.73, 1 Sm 3.04
17 Sc 0.1447 0.1447 0.5667  4 Tm 2.73-3.04
18 Sc 0.8553 0.8553 0.4333  4 Tm 2.73-3.04

***

# HoCo7B2

Crystalline HoCo7B2 at its relaxed geometry (PBE-GGA, the Alexandria database).

The energy is -6.659 eV/atom. As for the density of states at the Fermi level: 13.232 states/eV/f.u.

Cell lengths 4.0094, 5.8977, 5.8977 Å; angles 116.75, 90.00, 90.00 degrees
Closest atoms and distances in Å follow each position.
Fractional positions:
1 Ho 0.0000 0.0000 0.0000  10 Co 2.72-3.03
2 Co 0.0000 0.6980 0.3020  2 B 2.01
3 Co 0.0000 0.3020 0.6980  2 B 2.01
4 Co 0.5000 0.0572 0.3335  2 B 1.99-2.01
5 Co 0.5000 0.9428 0.6665  2 B 1.99-2.01
6 Co 0.5000 0.3335 0.0572  2 B 1.99-2.01
7 Co 0.5000 0.6665 0.9428  2 B 1.99-2.01
8 Co 0.5000 0.5000 0.5000  2 B 2.03
9 B 0.5000 0.7017 0.2983  7 Co 1.99-2.03
10 B 0.5000 0.2983 0.7017  7 Co 1.99-2.03